# 1
# PBE-GGA Cs2MgI6O, relaxed
data_Cs2MgI6O
_chemical_formula_sum 'Cs2 Mg1 I6 O1'
_cell_length_a 7.934
_cell_length_b 7.934
_cell_length_c 8.527
_cell_angle_alpha 62.27
_cell_angle_beta 62.27
_cell_angle_gamma 90.00
_space_group_name_H-M_alt 'P 1'
_space_group_IT_number 1
_space_group_name_Hall 'P 1'
loop_
_atom_site_label
_atom_site_type_symbol
_atom_site_fract_x
_atom_site_fract_y
_atom_site_fract_z
Cs1 Cs 0.750 0.250 0.500
Cs2 Cs 0.250 0.750 0.500
I1 I 0.212 0.212 0.575
I2 I 0.788 0.788 0.425
I3 I 0.280 0.280 0.000
I4 I 0.720 0.720 0.000
I5 I 0.720 0.280 0.000
I6 I 0.280 0.720 0.000
Mg1 Mg 0.000 0.000 0.000
O1 O 0.500 0.500 0.000
# - Total magnetic moment: 0.000 μB/cell
# - Formation energy (no corrections): -0.699 eV per atom


# 2
# PBE-GGA CsMgIO2, relaxed
data_CsMgIO2
_chemical_formula_sum 'Cs1 Mg1 I1 O2'
_cell_length_a 4.449
_cell_length_b 4.449
_cell_length_c 7.277
_cell_angle_alpha 90.00
_cell_angle_beta 90.00
_cell_angle_gamma 90.00
_space_group_name_H-M_alt 'P 1'
_space_group_IT_number 1
_space_group_name_Hall 'P 1'
loop_
_atom_site_label
_atom_site_type_symbol
_atom_site_fract_x
_atom_site_fract_y
_atom_site_fract_z
Cs1 Cs 0.000 0.000 0.000
I1 I 0.000 0.000 0.500
Mg1 Mg 0.500 0.500 0.500
O1 O 0.000 0.500 0.000
O2 O 0.500 0.000 0.000
# - Total magnetic moment: 0.000 μB/cell
# - Formation energy (no corrections): 0.185 eV per atom


# 3
# PBE-GGA CsMg2PI, relaxed
data_CsMg2PI
_chemical_formula_sum 'Cs1 Mg2 P1 I1'
_cell_length_a 5.824
_cell_length_b 5.730
_cell_length_c 5.824
_cell_angle_alpha 90.00
_cell_angle_beta 90.00
_cell_angle_gamma 90.00
_space_group_name_H-M_alt 'P 1'
_space_group_IT_number 1
_space_group_name_Hall 'P 1'
loop_
_atom_site_label
_atom_site_type_symbol
_atom_site_fract_x
_atom_site_fract_y
_atom_site_fract_z
Cs1 Cs 0.500 0.500 0.500
I1 I 0.000 0.000 0.000
Mg1 Mg 0.000 0.000 0.500
Mg2 Mg 0.500 0.000 0.000
P1 P 0.000 0.500 0.000
# - Total magnetic moment: 0.000 μB/cell
# - Formation energy (no corrections): 0.504 eV per atom


# 4
# PBE-GGA Cs2MgPdI6, relaxed
data_Cs2MgPdI6
_chemical_formula_sum 'Cs4 Mg2 Pd2 I12'
_cell_length_a 8.191
_cell_length_b 8.191
_cell_length_c 14.734
_cell_angle_alpha 73.86
_cell_angle_beta 73.86
_cell_angle_gamma 60.00
_space_group_name_H-M_alt 'P 1'
_space_group_IT_number 1
_space_group_name_Hall 'P 1'
loop_
_atom_site_label
_atom_site_type_symbol
_atom_site_fract_x
_atom_site_fract_y
_atom_site_fract_z
Cs1 Cs 0.881 0.881 0.358
Cs2 Cs 0.119 0.119 0.642
Cs3 Cs 0.703 0.703 0.890
Cs4 Cs 0.297 0.297 0.110
Mg1 Mg 0.584 0.584 0.249
Mg2 Mg 0.416 0.416 0.751
Pd1 Pd 0.000 0.000 0.000
Pd2 Pd 0.500 0.500 0.500
I1 I 0.864 0.378 0.380
I2 I 0.378 0.864 0.380
I3 I 0.378 0.378 0.380
I4 I 0.136 0.622 0.620
I5 I 0.622 0.136 0.620
I6 I 0.622 0.622 0.620
I7 I 0.709 0.206 0.880
I8 I 0.206 0.709 0.880
I9 I 0.206 0.206 0.880
I10 I 0.291 0.794 0.120
I11 I 0.794 0.291 0.120
I12 I 0.794 0.794 0.120
# - Total magnetic moment: 0.003 μB/cell
# - Formation energy (no corrections): -0.927 eV per atom


# 5
# PBE-GGA Cs2MgPdI6, relaxed
data_Cs2MgPdI6
_chemical_formula_sum 'Cs2 Mg1 Pd1 I6'
_cell_length_a 8.235
_cell_length_b 8.235
_cell_length_c 8.242
_cell_angle_alpha 60.03
_cell_angle_beta 60.03
_cell_angle_gamma 90.00
_space_group_name_H-M_alt 'P 1'
_space_group_IT_number 1
_space_group_name_Hall 'P 1'
loop_
_atom_site_label
_atom_site_type_symbol
_atom_site_fract_x
_atom_site_fract_y
_atom_site_fract_z
Cs1 Cs 0.750 0.250 0.500
Cs2 Cs 0.250 0.750 0.500
I1 I 0.245 0.245 0.510
I2 I 0.755 0.755 0.490
I3 I 0.245 0.245 0.000
I4 I 0.755 0.755 0.000
I5 I 0.755 0.245 0.000
I6 I 0.245 0.755 0.000
Mg1 Mg 0.500 0.500 0.000
Pd1 Pd 0.000 0.000 0.000
# - Total magnetic moment: 0.000 μB/cell
# - Formation energy (no corrections): -0.902 eV per atom


# 6
# PBE-GGA CsPmMgI6, relaxed
data_CsPmMgI6
_chemical_formula_sum 'Cs1 Pm1 Mg1 I6'
_cell_length_a 7.869
_cell_length_b 7.869
_cell_length_c 8.710
_cell_angle_alpha 90.01
_cell_angle_beta 90.00
_cell_angle_gamma 59.99
_space_group_name_H-M_alt 'P 1'
_space_group_IT_number 1
_space_group_name_Hall 'P 1'
loop_
_atom_site_label
_atom_site_type_symbol
_atom_site_fract_x
_atom_site_fract_y
_atom_site_fract_z
Cs1 Cs 0.000 0.000 0.000
Pm1 Pm 0.667 0.667 0.500
Mg1 Mg 0.333 0.333 0.500
I1 I 0.015 0.365 0.298
I2 I 0.365 0.015 0.702
I3 I 0.620 0.365 0.702
I4 I 0.015 0.620 0.702
I5 I 0.365 0.620 0.298
I6 I 0.620 0.015 0.298
# - Total magnetic moment: 0.000 μB/cell
# - Formation energy (no corrections): -1.322 eV per atom


> What is the formation energy (no corrections) in the first record?

-0.699 eV per atom


> total magnetic moment of number 1 (Cs2MgI6O)?

0.000 μB/cell


> The lowest formation energy (no corrections) belongs to which entry?

CsPmMgI6


> Number 6 is which compound?

CsPmMgI6